Entry 1:
Computed, not measured: a relaxed structure of SrBeIn at the PBE level of DFT.

The calculation puts the total moment at 0.5 μB/f.u. The value obtained for the offset from the most stable computed form is 43.8 kJ per mole of atoms.

It has space group F-43m (No. 216), with a = 7.089 Å, b = 7.089 Å, c = 7.089 Å, α = 90.00°, β = 90.00° and γ = 90.00°. Symmetry generates all atoms from Sr at (0.000, 0.000, 0.000), Be at (0.000, 0.000, 0.500) and In at (0.250, 0.250, 0.750).



Entry 2:
Computed, not measured: a relaxed structure of Y2ScTc at the PBE level of DFT.

The calculation puts the total moment at 0.0 μB/f.u. The value obtained for the offset from the most stable computed form is 27.5 kJ per mole of atoms.

It has space group I-4m2 (No. 119), with a = 5.036 Å, b = 5.036 Å, c = 7.231 Å, α = 90.00°, β = 90.00° and γ = 90.00°. Symmetry generates all atoms from Y at (0.000, 0.000, 0.000), Y at (0.000, 0.500, 0.250), Sc at (0.000, 0.500, 0.750) and Tc at (0.000, 0.000, 0.500).



Entry 3:
Computed, not measured: a relaxed structure of Ba2Cu2HgO6 at the PBE level of DFT.

The calculation puts the total moment at 0.3 μB/f.u. Its energy relative to the elements, uncorrected is -1.13 eV/atom.

It has space group P4/mmm (No. 123), with a = 3.729 Å, b = 3.729 Å, c = 13.841 Å, α = 90.00°, β = 90.00° and γ = 90.00°. Symmetry generates all atoms from Ba at (0.000, 0.000, 0.223), Cu at (0.500, 0.500, 0.392), Hg at (0.500, 0.500, 0.000), O at (0.000, 0.500, 0.363) and O at (0.500, 0.500, 0.145).



Entry 4:
Computed, not measured: a relaxed structure of AcLaTe2Se at the PBE level of DFT.

The calculation puts the total moment at 0.0 μB/f.u. Its energy relative to the elements, uncorrected is -1.59 eV/atom.

It has space group P4/nmm (No. 129, origin choice 2), with a = 4.661 Å, b = 4.661 Å, c = 16.418 Å, α = 90.00°, β = 90.00° and γ = 90.00°. Symmetry generates all atoms from Ac at (0.250, 0.250, 0.122), La at (0.250, 0.250, 0.606), Te at (0.250, 0.250, 0.403), Te at (0.250, 0.250, 0.795) and Se at (0.250, 0.750, 0.000).



Entry 5:
Computed, not measured: a relaxed structure of CeScCdRh at the PBE level of DFT.

The calculation puts the total moment at 0.7 μB/f.u. The value obtained for the energy is -88.090 eV for the cell shown.

It has space group F-43m (No. 216), with a = 7.062 Å, b = 7.062 Å, c = 7.062 Å, α = 90.00°, β = 90.00° and γ = 90.00°. Symmetry generates all atoms from Ce at (0.000, 0.000, 0.000), Sc at (0.000, 0.000, 0.500), Cd at (0.250, 0.250, 0.250) and Rh at (0.250, 0.250, 0.750).



Entry 6:
Computed, not measured: a relaxed structure of Ca2PrNd at the PBE level of DFT.

The calculation puts the total moment at 0.0 μB/f.u. The value obtained for the offset from the most stable computed form is 7.3 kJ per mole of atoms.

It has space group Fm-3m (No. 225), with a = 8.460 Å, b = 8.460 Å, c = 8.460 Å, α = 90.00°, β = 90.00° and γ = 90.00°. Symmetry generates all atoms from Ca at (0.250, 0.250, 0.250), Pr at (0.000, 0.000, 0.000) and Nd at (0.000, 0.000, 0.500).